1.
## LaNd6SmY2 (GGA-PBE)

Data for a geometry-optimized LaNd6SmY2 structure.

DOS(E_F)	1.48	states/eV per atom
M_tot	0.00	μB per atom
energy of formation	0.11	eV per atom
symmetry	C2/c, No. 15

Unit cell a=9.0192 b=9.0192 c=9.7324 alpha=93.56 beta=93.56 gamma=116.69
Closest atoms and distances in Å follow each position.
Positions (direct):
1 La 0.0938 0.9062 0.7500  6 Nd 3.53-3.60, 2 Y 3.63
2 La 0.9062 0.0938 0.2500  6 Nd 3.53-3.60, 2 Y 3.63
3 Nd 0.0185 0.7953 0.3821  3 Nd 3.28-3.48, 3 Y 3.40-3.55, 2 La 3.56-3.60
4 Nd 0.0630 0.5151 0.1818  2 Nd 3.28-3.60, 1 La 3.53, 1 Y 3.55, 1 Sm 3.55
5 Nd 0.2047 0.9815 0.1179  3 Nd 3.28-3.48, 3 Y 3.40-3.55, 2 La 3.56-3.60
6 Nd 0.2610 0.6074 0.5585  7 Nd 3.48-3.85, 2 Y 3.53-3.88, 2 Sm 3.73-3.78
7 Nd 0.3926 0.7390 0.9415  7 Nd 3.48-3.85, 2 Y 3.53-3.88, 2 Sm 3.73-3.78
8 Nd 0.4849 0.9370 0.3182  2 Nd 3.28-3.60, 1 La 3.53, 1 Y 3.55, 1 Sm 3.55
9 Nd 0.5151 0.0630 0.6818  2 Nd 3.28-3.60, 1 La 3.53, 1 Y 3.55, 1 Sm 3.55
10 Nd 0.6074 0.2610 0.0585  7 Nd 3.48-3.85, 2 Y 3.53-3.88, 2 Sm 3.73-3.78
11 Nd 0.7390 0.3926 0.4415  7 Nd 3.48-3.85, 2 Y 3.53-3.88, 2 Sm 3.73-3.78
12 Nd 0.7953 0.0185 0.8821  3 Nd 3.28-3.48, 3 Y 3.40-3.55, 2 La 3.56-3.60
13 Nd 0.9370 0.4849 0.8182  2 Nd 3.28-3.60, 1 La 3.53, 1 Y 3.55, 1 Sm 3.55
14 Nd 0.9815 0.2047 0.6179  3 Nd 3.28-3.48, 3 Y 3.40-3.55, 2 La 3.56-3.60
15 Sm 0.4639 0.5361 0.2500  4 Y 3.44-3.51, 6 Nd 3.55-3.78
16 Sm 0.5361 0.4639 0.7500  4 Y 3.44-3.51, 6 Nd 3.55-3.78
17 Y 0.2078 0.3023 0.9497  6 Nd 3.40-3.72, 2 Sm 3.44-3.51, 1 La 3.63
18 Y 0.3023 0.2078 0.4497  6 Nd 3.40-3.72, 2 Sm 3.44-3.51, 1 La 3.63
19 Y 0.6977 0.7922 0.5503  6 Nd 3.40-3.72, 2 Sm 3.44-3.51, 1 La 3.63
20 Y 0.7922 0.6977 0.0503  6 Nd 3.40-3.72, 2 Sm 3.44-3.51, 1 La 3.63

***

2.
## TaSiSe2 (GGA-PBE)

Data for a geometry-optimized TaSiSe2 structure.

DOS(E_F)	0.62	states/eV per atom
formation energy from raw total energies	178	meV per atom
M_tot	0.00	μB per atom
symmetry	P2/m, No. 10

Unit cell a=4.3058 b=3.3091 c=5.3059 alpha=90.00 beta=100.04 gamma=90.00
Closest atoms and distances in Å follow each position.
Positions (direct):
1 Ta 0.0000 0.0000 0.0000  6 Se 2.65-2.72
2 Si 0.5000 0.5000 0.5000  6 Se 2.65-2.72
3 Se 0.0000 0.0000 0.5000  2 Ta 2.65, 4 Si 2.72
4 Se 0.5000 0.5000 0.0000  2 Si 2.65, 4 Ta 2.72

***

3.
## Cs2InO3 (GGA-PBE)

Data for a geometry-optimized Cs2InO3 structure.

formation energy from raw total energies	-1172	meV per atom
M_tot	0.00	μB per atom
symmetry	C2/m, No. 12

Unit cell a=6.9131 b=6.9131 c=6.8807 alpha=96.30 beta=96.30 gamma=126.84
Closest atoms and distances in Å follow each position.
Positions (direct):
1 Cs 0.0000 0.0000 0.0000  8 O 3.00-3.36
2 Cs 0.1616 0.8384 0.5000  4 O 2.82-3.04
3 Cs 0.5000 0.5000 0.5000  2 O 2.79
4 Cs 0.8384 0.1616 0.5000  4 O 2.82-3.04
5 In 0.3005 0.6995 0.0000  4 O 2.17-2.22
6 In 0.6995 0.3005 0.0000  4 O 2.17-2.22
7 O 0.0679 0.4707 0.1915  2 In 2.17-2.22
8 O 0.4397 0.4397 0.8883  1 O 1.54
9 O 0.4707 0.0679 0.1915  2 In 2.17-2.22
10 O 0.5293 0.9321 0.8085  2 In 2.17-2.22
11 O 0.5603 0.5603 0.1117  1 O 1.54
12 O 0.9321 0.5293 0.8085  2 In 2.17-2.22

***

4.
## AcPr3F (GGA-PBE)

Data for a geometry-optimized AcPr3F structure.

DOS(E_F)	0.80	states/eV per atom
formation energy from raw total energies	-963	meV per atom
M_tot	0.00	μB per atom
symmetry	Pm-3m, No. 221

Unit cell a=5.3421 b=5.3421 c=5.3421 alpha=90.00 beta=90.00 gamma=90.00
Closest atoms and distances in Å follow each position.
Positions (direct):
1 Ac 0.0000 0.0000 0.0000  12 Pr 3.78
2 Pr 0.0000 0.5000 0.5000  2 F 2.67
3 Pr 0.5000 0.0000 0.5000  2 F 2.67
4 Pr 0.5000 0.5000 0.0000  2 F 2.67
5 F 0.5000 0.5000 0.5000  6 Pr 2.67